[1]
First-principles (PBE) data for a relaxed Ac3NiPb2 crystal, as listed in Alexandria.

a b c (Å): 13.2394 4.7522 12.9901
angles (deg): 90.00 90.00 90.00
Sites, in units of the cell vectors:
Ac1 0.0591 0.2500 0.1280
Ac2 0.1162 0.7500 0.5481
Ac3 0.2310 0.2500 0.7976
Ac4 0.2690 0.7500 0.2976
Ac5 0.3838 0.2500 0.0481
Ac6 0.4409 0.7500 0.6280
Ac7 0.5591 0.2500 0.3720
Ac8 0.6162 0.7500 0.9519
Ac9 0.7310 0.2500 0.7024
Ac10 0.7690 0.7500 0.2024
Ac11 0.8838 0.2500 0.4519
Ac12 0.9409 0.7500 0.8720
Ni1 0.1248 0.2500 0.3649
Ni2 0.3752 0.7500 0.8649
Ni3 0.6248 0.2500 0.1351
Ni4 0.8752 0.7500 0.6351
Pb1 0.0118 0.7500 0.3084
Pb2 0.1965 0.7500 0.9927
Pb3 0.3035 0.2500 0.4927
Pb4 0.4882 0.2500 0.8084
Pb5 0.5118 0.7500 0.1916
Pb6 0.6965 0.7500 0.5073
Pb7 0.8035 0.2500 0.0073
Pb8 0.9882 0.2500 0.6916

Properties
V = 34.05 A^3/atom
Energy of formation from the pure elements = -2.67 eV per formula unit



[2]
First-principles (PBE) data for a relaxed NdEr3In crystal, as listed in Alexandria.

a b c (Å): 7.9895 7.9895 5.9717
angles (deg): 90.00 90.00 120.00
Sites, in units of the cell vectors:
Nd1 0.3333 0.6667 0.2500
Nd2 0.6667 0.3333 0.7500
Er1 0.1935 0.3869 0.7500
Er2 0.1935 0.8065 0.7500
Er3 0.3869 0.1935 0.2500
Er4 0.6131 0.8065 0.7500
Er5 0.8065 0.1935 0.2500
Er6 0.8065 0.6131 0.2500
In1 0.0000 0.0000 0.0000
In2 0.0000 0.0000 0.5000

Properties
V = 33.01 A^3/atom
Energy of formation from the pure elements = 0.35 eV per formula unit



[3]
First-principles (PBE) data for a relaxed SmEuGdAl crystal, as listed in Alexandria.

a b c (Å): 7.7186 7.7186 7.7186
angles (deg): 90.00 90.00 90.00
Sites, in units of the cell vectors:
Sm1 0.0000 0.0000 0.0000
Sm2 0.0000 0.5000 0.5000
Sm3 0.5000 0.0000 0.5000
Sm4 0.5000 0.5000 0.0000
Eu1 0.2500 0.2500 0.2500
Eu2 0.2500 0.7500 0.7500
Eu3 0.7500 0.2500 0.7500
Eu4 0.7500 0.7500 0.2500
Gd1 0.0000 0.0000 0.5000
Gd2 0.0000 0.5000 0.0000
Gd3 0.5000 0.0000 0.0000
Gd4 0.5000 0.5000 0.5000
Al1 0.2500 0.2500 0.7500
Al2 0.2500 0.7500 0.2500
Al3 0.7500 0.2500 0.2500
Al4 0.7500 0.7500 0.7500

Properties
V = 28.74 A^3/atom
Energy of formation from the pure elements = -0.19 eV per formula unit



[4]
First-principles (PBE) data for a relaxed LaMnZnBi2 crystal, as listed in Alexandria.

a b c (Å): 5.1817 5.1817 5.1248
angles (deg): 90.00 90.00 90.00
Sites, in units of the cell vectors:
La1 0.0000 0.0000 0.0000
Mn1 0.0000 0.0000 0.5000
Zn1 0.5000 0.5000 0.0000
Bi1 0.0000 0.5000 0.5000
Bi2 0.5000 0.0000 0.5000

Properties
V = 27.52 A^3/atom
Energy of formation from the pure elements = 0.45 eV per formula unit



[5]
First-principles (PBE) data for a relaxed AcNdHgTe crystal, as listed in Alexandria.

a b c (Å): 4.5754 4.5754 6.6444
angles (deg): 90.00 90.00 90.00
Sites, in units of the cell vectors:
Ac1 0.0000 0.0000 0.0000
Nd1 0.5000 0.5000 0.5000
Hg1 0.5000 0.5000 0.0000
Te1 0.0000 0.0000 0.5000

Properties
V = 34.77 A^3/atom
Formation energy (no corrections) = -905 meV per atom



[6]
First-principles (PBE) data for a relaxed SnBPt crystal, as listed in Alexandria.

a b c (Å): 3.0211 3.0211 22.2850
angles (deg): 90.00 90.00 90.00
Sites, in units of the cell vectors:
Sn1 0.0000 0.0000 0.0776
Sn2 0.0000 0.0000 0.9224
Sn3 0.5000 0.5000 0.4224
Sn4 0.5000 0.5000 0.5776
B1 0.0000 0.0000 0.2188
B2 0.0000 0.0000 0.7812
B3 0.5000 0.5000 0.2812
B4 0.5000 0.5000 0.7188
Pt1 0.0000 0.0000 0.3158
Pt2 0.0000 0.0000 0.6842
Pt3 0.5000 0.5000 0.1842
Pt4 0.5000 0.5000 0.8158

Properties
V = 16.95 A^3/atom
Energy of formation from the pure elements = 0.25 eV per formula unit



Copy entry 3 word for word.
First-principles (PBE) data for a relaxed SmEuGdAl crystal, as listed in Alexandria.

a b c (Å): 7.7186 7.7186 7.7186
angles (deg): 90.00 90.00 90.00
Sites, in units of the cell vectors:
Sm1 0.0000 0.0000 0.0000
Sm2 0.0000 0.5000 0.5000
Sm3 0.5000 0.0000 0.5000
Sm4 0.5000 0.5000 0.0000
Eu1 0.2500 0.2500 0.2500
Eu2 0.2500 0.7500 0.7500
Eu3 0.7500 0.2500 0.7500
Eu4 0.7500 0.7500 0.2500
Gd1 0.0000 0.0000 0.5000
Gd2 0.0000 0.5000 0.0000
Gd3 0.5000 0.0000 0.0000
Gd4 0.5000 0.5000 0.5000
Al1 0.2500 0.2500 0.7500
Al2 0.2500 0.7500 0.2500
Al3 0.7500 0.2500 0.2500
Al4 0.7500 0.7500 0.7500

Properties
V = 28.74 A^3/atom
Energy of formation from the pure elements = -0.19 eV per formula unit



Please write out number 6 again, unchanged.
First-principles (PBE) data for a relaxed SnBPt crystal, as listed in Alexandria.

a b c (Å): 3.0211 3.0211 22.2850
angles (deg): 90.00 90.00 90.00
Sites, in units of the cell vectors:
Sn1 0.0000 0.0000 0.0776
Sn2 0.0000 0.0000 0.9224
Sn3 0.5000 0.5000 0.4224
Sn4 0.5000 0.5000 0.5776
B1 0.0000 0.0000 0.2188
B2 0.0000 0.0000 0.7812
B3 0.5000 0.5000 0.2812
B4 0.5000 0.5000 0.7188
Pt1 0.0000 0.0000 0.3158
Pt2 0.0000 0.0000 0.6842
Pt3 0.5000 0.5000 0.1842
Pt4 0.5000 0.5000 0.8158

Properties
V = 16.95 A^3/atom
Energy of formation from the pure elements = 0.25 eV per formula unit



V of number 4 (LaMnZnBi2)?
27.52 A^3/atom